# 1
{
  "formula": "Nd3DyS4",
  "functional": "PBE",
  "state": "relaxed",
  "relative_energy_ev_per_fu": 0.21,
  "e_form_raw_mev_per_atom": -1992,
  "space_group": "Pm-3m",
  "cell": [[5.703, 0.000, 0.000], [0.000, 5.703, 0.000], [0.000, 0.000, 5.703]],
  "species": ["Nd", "Nd", "Nd", "Dy", "S", "S", "S", "S"],
  "fractional_positions": [[0.000, 0.000, 0.500], [0.000, 0.500, 0.000], [0.500, 0.000, 0.000], [0.500, 0.500, 0.500], [0.000, 0.000, 0.000], [0.000, 0.500, 0.500], [0.500, 0.000, 0.500], [0.500, 0.500, 0.000]]
}

***

# 2
{
  "formula": "NdDyS2",
  "functional": "PBE",
  "state": "relaxed",
  "relative_energy_ev_per_fu": 0.25,
  "e_form_raw_mev_per_atom": -1952,
  "space_group": "R3m",
  "cell": [[1.944, 1.122, 6.959], [-1.944, 1.122, 6.959], [0.000, -2.244, 6.959]],
  "species": ["Nd", "Dy", "S", "S"],
  "fractional_positions": [[0.000, 0.000, 0.000], [0.822, 0.822, 0.822], [0.414, 0.414, 0.414], [0.575, 0.575, 0.575]]
}